First-principles (PBE) data for an optimized crystal structure of NdHo3Fe, as listed in Alexandria.

abc: 5.272 5.272 5.272
angles: 90.00 90.00 90.00
Positions (direct):
1 Nd 0.000 0.000 0.000
2 Ho 0.000 0.500 0.500
3 Ho 0.500 0.000 0.500
4 Ho 0.500 0.500 0.000
5 Fe 0.500 0.500 0.500

## Properties
* magnetization: 0.0 μB/cell
* final energy: -26.5 eV for the cell shown
* E_form: 93.0 meV per atom
* SG: No. 221